Record 1
VASP calculation (PBE) on a geometry-optimized SnSNO2 structure.

a = 3.819 Å, b = 3.819 Å, c = 3.853 Å
α = 90.00°, β = 90.00°, γ = 90.00°
Element x y z (fractional)
1 S 0.000 0.000 0.000
2 Sn 0.500 0.500 0.500
3 O 0.000 0.500 0.000
4 O 0.500 0.000 0.000
5 N 0.000 0.000 0.500

Summary:
Volume (Å³/cell): 56.2
Formation energy (no corrections) (eV/atom): 0.306
Total moment (μB/atom): 0.0000
Space-group type: No. 123
Crystal system: tetragonal

---

Record 2
VASP calculation (PBE) on a geometry-optimized SrSNO2 structure.

a = 4.739 Å, b = 4.739 Å, c = 5.170 Å
α = 90.00°, β = 90.00°, γ = 90.00°
Site moments in Bohr magnetons follow the coordinates.
Element x y z (fractional)
1 Sr 0.000 0.000 0.000  0.03
2 S 0.500 0.500 0.500  -1.13
3 O 0.000 0.500 0.000  -0.92
4 O 0.500 0.000 0.000  -0.92
5 N 0.000 0.000 0.500  1.62

Summary:
Volume (Å³/cell): 116.1
Formation energy (no corrections) (eV/atom): 1.013
Total moment (μB/atom): 0.3294
Space-group type: No. 123
Crystal system: tetragonal

---

Record 3
VASP calculation (PBE) on a geometry-optimized SrSN2O structure.

a = 3.597 Å, b = 3.597 Å, c = 4.387 Å
α = 90.00°, β = 90.00°, γ = 90.00°
Element x y z (fractional)
1 Sr 0.500 0.500 0.500
2 S 0.000 0.000 0.000
3 O 0.000 0.000 0.500
4 N 0.000 0.500 0.000
5 N 0.500 0.000 0.000

Summary:
Volume (Å³/cell): 56.7
Formation energy (no corrections) (eV/atom): 0.136
Total moment (μB/atom): 0.0000
Space-group type: No. 123
Crystal system: tetragonal

---

Record 4
VASP calculation (PBE) on a geometry-optimized SrSN2O structure.

a = 4.185 Å, b = 4.185 Å, c = 3.921 Å
α = 90.00°, β = 90.00°, γ = 90.00°
Site moments in Bohr magnetons follow the coordinates.
Element x y z (fractional)
1 Sr 0.500 0.500 0.500  0.00
2 S 0.000 0.000 0.500  0.10
3 O 0.000 0.000 0.000  -0.11
4 N 0.000 0.500 0.000  0.62
5 N 0.500 0.000 0.000  0.62

Summary:
Volume (Å³/cell): 68.7
Formation energy (no corrections) (eV/atom): 1.151
Total moment (μB/atom): 0.3532
Space-group type: No. 123
Crystal system: tetragonal

---

Record 5
VASP calculation (PBE) on a geometry-optimized SrSN2O structure.

a = 5.159 Å, b = 5.159 Å, c = 4.554 Å
α = 90.00°, β = 90.00°, γ = 90.00°
Site moments in Bohr magnetons follow the coordinates.
Element x y z (fractional)
1 Sr 0.000 0.000 0.000  0.01
2 S 0.500 0.500 0.500  -0.93
3 O 0.000 0.000 0.500  -0.69
4 N 0.000 0.500 0.000  1.56
5 N 0.500 0.000 0.000  1.56

Summary:
Volume (Å³/cell): 121.2
Formation energy (no corrections) (eV/atom): 1.745
Total moment (μB/atom): 0.4715
Space-group type: No. 123
Crystal system: tetragonal

---

Record 6
VASP calculation (PBE) on a geometry-optimized Sr2SNO structure.

a = 5.011 Å, b = 3.823 Å, c = 5.011 Å
α = 90.00°, β = 90.00°, γ = 90.00°
Site moments in Bohr magnetons follow the coordinates.
Element x y z (fractional)
1 Sr 0.000 0.000 0.500  -0.01
2 Sr 0.500 0.000 0.000  -0.01
3 S 0.000 0.500 0.000  0.08
4 O 0.000 0.000 0.000  0.01
5 N 0.500 0.500 0.500  0.60

Summary:
Volume (Å³/cell): 96.0
Formation energy (no corrections) (eV/atom): -0.655
Total moment (μB/atom): 0.2000
Space-group type: No. 123
Crystal system: tetragonal

---

Record 7
VASP calculation (PBE) on a geometry-optimized SrSN2O structure.

a = 5.106 Å, b = 5.106 Å, c = 5.970 Å
α = 90.00°, β = 90.00°, γ = 90.00°
Site moments in Bohr magnetons follow the coordinates.
Element x y z (fractional)
1 Sr 0.000 0.000 0.000  0.04
2 S 0.000 0.000 0.500  0.83
3 O 0.500 0.500 0.500  1.40
4 N 0.000 0.500 0.000  1.54
5 N 0.500 0.000 0.000  1.54

Summary:
Volume (Å³/cell): 155.7
Formation energy (no corrections) (eV/atom): 1.950
Total moment (μB/atom): 1.6000
Space-group type: No. 123
Crystal system: tetragonal

---

Record 8
VASP calculation (PBE) on a geometry-optimized SrSNO2 structure.

a = 4.035 Å, b = 4.035 Å, c = 3.538 Å
α = 90.00°, β = 90.00°, γ = 90.00°
Element x y z (fractional)
1 Sr 0.500 0.500 0.500
2 S 0.000 0.000 0.000
3 O 0.000 0.500 0.000
4 O 0.500 0.000 0.000
5 N 0.000 0.000 0.500

Summary:
Volume (Å³/cell): 57.6
Formation energy (no corrections) (eV/atom): -0.586
Total moment (μB/atom): 0.0000
Space-group type: No. 123
Crystal system: tetragonal

---

Record 9
VASP calculation (PBE) on a geometry-optimized TaSN2O structure.

a = 3.784 Å, b = 3.784 Å, c = 3.570 Å
α = 90.00°, β = 90.00°, γ = 90.00°
Element x y z (fractional)
1 S 0.000 0.000 0.500
2 N 0.000 0.500 0.000
3 N 0.500 0.000 0.000
4 O 0.000 0.000 0.000
5 Ta 0.500 0.500 0.500

Summary:
Volume (Å³/cell): 51.1
Formation energy (no corrections) (eV/atom): 1.335
Total moment (μB/atom): 0.0000
Space-group type: No. 123
Crystal system: tetragonal

---

Record 10
VASP calculation (PBE) on a geometry-optimized TaSNO2 structure.

a = 3.489 Å, b = 3.489 Å, c = 4.423 Å
α = 90.00°, β = 90.00°, γ = 90.00°
Site moments in Bohr magnetons follow the coordinates.
Element x y z (fractional)
1 S 0.000 0.000 0.000  0.02
2 N 0.000 0.000 0.500  -0.06
3 O 0.000 0.500 0.000  -0.01
4 O 0.500 0.000 0.000  -0.01
5 Ta 0.500 0.500 0.500  0.96

Summary:
Volume (Å³/cell): 53.9
Formation energy (no corrections) (eV/atom): 0.558
Total moment (μB/atom): 0.2406
Space-group type: No. 123
Crystal system: tetragonal

---

Record 11
VASP calculation (PBE) on a geometry-optimized TaSN2O structure.

a = 4.180 Å, b = 4.180 Å, c = 3.828 Å
α = 90.00°, β = 90.00°, γ = 90.00°
Element x y z (fractional)
1 S 0.500 0.500 0.500
2 N 0.000 0.500 0.000
3 N 0.500 0.000 0.000
4 O 0.000 0.000 0.500
5 Ta 0.000 0.000 0.000

Summary:
Volume (Å³/cell): 66.9
Formation energy (no corrections) (eV/atom): 0.261
Total moment (μB/atom): 0.0000
Space-group type: No. 123
Crystal system: tetragonal

---

Record 12
VASP calculation (PBE) on a geometry-optimized TaSN2O structure.

a = 3.989 Å, b = 3.989 Å, c = 5.035 Å
α = 90.00°, β = 90.00°, γ = 90.00°
Site moments in Bohr magnetons follow the coordinates.
Element x y z (fractional)
1 S 0.000 0.000 0.500  0.33
2 N 0.000 0.500 0.000  0.50
3 N 0.500 0.000 0.000  0.50
4 O 0.500 0.500 0.500  1.13
5 Ta 0.000 0.000 0.000  -0.11

Summary:
Volume (Å³/cell): 80.1
Formation energy (no corrections) (eV/atom): 0.875
Total moment (μB/atom): 0.6303
Space-group type: No. 123
Crystal system: tetragonal